Record 1
A relaxed structure of Th3TcPb2, computed with PBE.

a = 13.2991 Å, b = 4.3283 Å, c = 12.2933 Å
α = 90.00°, β = 90.00°, γ = 90.00°
Positions (direct):
Th (0.0524, 0.2500, 0.1240)
Th (0.1214, 0.7500, 0.5339)
Th (0.2462, 0.7500, 0.2745)
Th (0.2538, 0.2500, 0.7745)
Th (0.3786, 0.2500, 0.0339)
Th (0.4476, 0.7500, 0.6240)
Th (0.5524, 0.2500, 0.3760)
Th (0.6214, 0.7500, 0.9661)
Th (0.7462, 0.7500, 0.2255)
Th (0.7538, 0.2500, 0.7255)
Th (0.8786, 0.2500, 0.4661)
Th (0.9476, 0.7500, 0.8760)
Tc (0.1312, 0.2500, 0.3636)
Tc (0.3688, 0.7500, 0.8636)
Tc (0.6312, 0.2500, 0.1364)
Tc (0.8688, 0.7500, 0.6364)
Pb (0.0121, 0.2500, 0.6970)
Pb (0.1842, 0.7500, 0.9854)
Pb (0.3158, 0.2500, 0.4854)
Pb (0.4879, 0.7500, 0.1970)
Pb (0.5121, 0.2500, 0.8030)
Pb (0.6842, 0.7500, 0.5146)
Pb (0.8158, 0.2500, 0.0146)
Pb (0.9879, 0.7500, 0.3030)

Properties
* size of the total moment: 0.0 Bohr magnetons per cell
* energy: -165.38 eV for the cell shown
* ρ: 11.34 g/cm³
* V: 29.48 A^3/atom
* DOS at the Fermi energy: 19.22 states/eV per cell
* space group: Pnma, No. 62



Record 2
A relaxed structure of MnP4, computed with PBE.

a = 4.3239 Å, b = 4.3239 Å, c = 4.3239 Å
α = 90.00°, β = 90.00°, γ = 90.00°
Positions (direct):
Mn (0.0000, 0.0000, 0.0000)
P (0.0000, 0.0000, 0.5000)
P (0.0000, 0.5000, 0.0000)
P (0.5000, 0.0000, 0.0000)
P (0.5000, 0.5000, 0.5000)

Properties
* size of the total moment: 0.0 Bohr magnetons per cell
* energy: -27.62 eV for the cell shown
* ρ: 3.67 g/cm³
* V: 16.17 A^3/atom
* DOS at the Fermi energy: 3.46 states/eV per cell
* space group: Pm-3m, No. 221



Record 3
A relaxed structure of SrTcAs, computed with PBE.

a = 6.1351 Å, b = 6.1351 Å, c = 6.1351 Å
α = 148.25°, β = 148.25°, γ = 45.52°
Positions (direct):
Sr (0.0000, 0.0000, 0.0000)
Tc (0.2947, 0.2947, 0.0000)
As (0.7104, 0.7104, 0.0000)

Properties
* size of the total moment: 0.0 Bohr magnetons per cell
* energy: -17.33 eV for the cell shown
* ρ: 6.79 g/cm³
* V: 21.24 A^3/atom
* DOS at the Fermi energy: 1.41 states/eV per cell
* space group: I4mm, No. 107



Record 4
A relaxed structure of KAuCl2, computed with PBE.

a = 4.0548 Å, b = 3.9105 Å, c = 7.0647 Å
α = 90.00°, β = 90.22°, γ = 90.00°
Positions (direct):
K (0.0000, 0.0000, 0.0000)
Au (0.5000, 0.0000, 0.5000)
Cl (0.4998, 0.5000, 0.2489)
Cl (0.5002, 0.5000, 0.7511)

Properties
* size of the total moment: 0.0 Bohr magnetons per cell
* ρ: 4.55 g/cm³
* V: 28.00 A^3/atom
* formation energy without anion corrections: -342 kJ/mol of formula units
* space group: P2/m, No. 10



Record 5
A relaxed structure of Pm6DyPb6, computed with PBE.

a = 7.4256 Å, b = 7.4256 Å, c = 9.3759 Å
α = 90.00°, β = 90.00°, γ = 120.00°
Positions (direct):
Pm (0.0000, 0.5000, 0.2481)
Pm (0.0000, 0.5000, 0.7519)
Pm (0.5000, 0.0000, 0.2481)
Pm (0.5000, 0.0000, 0.7519)
Pm (0.5000, 0.5000, 0.2481)
Pm (0.5000, 0.5000, 0.7519)
Dy (0.0000, 0.0000, 0.5000)
Pb (0.0000, 0.0000, 0.1670)
Pb (0.0000, 0.0000, 0.8330)
Pb (0.3333, 0.6667, 0.0000)
Pb (0.3333, 0.6667, 0.5000)
Pb (0.6667, 0.3333, 0.0000)
Pb (0.6667, 0.3333, 0.5000)

Properties
* size of the total moment: 0.0 Bohr magnetons per cell
* energy: -58.91 eV for the cell shown
* ρ: 8.44 g/cm³
* V: 34.44 A^3/atom
* DOS at the Fermi energy: 14.20 states/eV per cell
* space group: P6/mmm, No. 191



Record 6
A relaxed structure of CeScHgOs, computed with PBE.

a = 3.2598 Å, b = 3.2598 Å, c = 8.0409 Å
α = 90.00°, β = 90.00°, γ = 90.00°
Positions (direct):
Ce (0.0000, 0.0000, 0.0000)
Sc (0.0000, 0.0000, 0.5779)
Hg (0.5000, 0.5000, 0.3157)
Os (0.5000, 0.5000, 0.7693)

Properties
* size of the total moment: 0.0 Bohr magnetons per cell
* energy: -25.40 eV for the cell shown
* ρ: 11.19 g/cm³
* V: 21.36 A^3/atom
* DOS at the Fermi energy: 2.50 states/eV per cell
* space group: P4mm, No. 99



Record 7
A relaxed structure of Hg3As2, computed with PBE.

a = 8.0091 Å, b = 7.7942 Å, c = 10.4659 Å
α = 49.42°, β = 47.65°, γ = 82.93°
Positions (direct):
Hg (0.0000, 0.0000, 0.0000)
Hg (0.1318, 0.6280, 0.6197)
Hg (0.2500, 0.2500, 0.2500)
Hg (0.6280, 0.1318, 0.6205)
Hg (0.6303, 0.6295, 0.1182)
Hg (0.6295, 0.6303, 0.6220)
As (0.2659, 0.7443, 0.2550)
As (0.5151, 0.9950, 0.5057)
As (0.7443, 0.2659, 0.7349)
As (0.9950, 0.5151, 0.9841)

Properties
* size of the total moment: 0.0 Bohr magnetons per cell
* energy: -19.30 eV for the cell shown
* ρ: 8.23 g/cm³
* V: 30.34 A^3/atom
* space group: Fdd2, No. 43



Record 8
A relaxed structure of YRhW2, computed with PBE.

a = 5.0208 Å, b = 5.0208 Å, c = 5.3488 Å
α = 107.51°, β = 107.51°, γ = 36.64°
Positions (direct):
Y (0.0000, 0.0000, 0.0000)
Rh (0.7640, 0.7640, 0.2762)
W (0.2156, 0.2156, 0.6609)
W (0.4952, 0.4952, 0.4957)

Properties
* size of the total moment: 0.0 Bohr magnetons per cell
* energy: -38.64 eV for the cell shown
* ρ: 12.17 g/cm³
* V: 19.08 A^3/atom
* DOS at the Fermi energy: 2.33 states/eV per cell
* space group: Cm, No. 8



Record 9
A relaxed structure of Ti9S10, computed with PBE.

a = 9.0298 Å, b = 9.0822 Å, c = 11.8132 Å
α = 77.53°, β = 70.86°, γ = 85.95°
Positions (direct):
Ti (0.0000, 0.0000, 0.0000)
Ti (0.9996, 0.3551, 0.4407)
Ti (0.0063, 0.6472, 0.5571)
Ti (0.0067, 0.3540, 0.9390)
Ti (0.0083, 0.9998, 0.4976)
Ti (0.1948, 0.3636, 0.1371)
Ti (0.2030, 0.0027, 0.2020)
Ti (0.2055, 0.9953, 0.6994)
Ti (0.2066, 0.3535, 0.6422)
Ti (0.2140, 0.6447, 0.2529)
Ti (0.3972, 0.3548, 0.8434)
Ti (0.4004, 0.0024, 0.4019)
Ti (0.4038, 0.6492, 0.4579)
Ti (0.4065, 0.0033, 0.8992)
Ti (0.4096, 0.6494, 0.9584)
Ti (0.4173, 0.3602, 0.3427)
Ti (0.5966, 0.3588, 0.5462)
Ti (0.6001, 0.6508, 0.1582)
Ti (0.6026, 0.9998, 0.6010)
Ti (0.6053, 0.0103, 0.0956)
Ti (0.6052, 0.6451, 0.6675)
Ti (0.8013, 0.6502, 0.8597)
Ti (0.8019, 0.0044, 0.8026)
Ti (0.8037, 0.3530, 0.2437)
Ti (0.8053, 0.9962, 0.3009)
Ti (0.8146, 0.3637, 0.7344)
Ti (0.9911, 0.6447, 0.0576)
S (0.0008, 0.8307, 0.8620)
S (0.0044, 0.1728, 0.1381)
S (0.0050, 0.1739, 0.6380)
S (0.0059, 0.8300, 0.3611)
S (0.0171, 0.5159, 0.7491)
S (0.2015, 0.5187, 0.9390)
S (0.2033, 0.1704, 0.8378)
S (0.2026, 0.1761, 0.3374)
S (0.2044, 0.8298, 0.5613)
S (0.2052, 0.8315, 0.0614)
S (0.2056, 0.4983, 0.4480)
S (0.3925, 0.5163, 0.6569)
S (0.3999, 0.1754, 0.0377)
S (0.4041, 0.8330, 0.2598)
S (0.4051, 0.1737, 0.5395)
S (0.4053, 0.8294, 0.7635)
S (0.4149, 0.4849, 0.1446)
S (0.6032, 0.8315, 0.4628)
S (0.6041, 0.8330, 0.9622)
S (0.6053, 0.1716, 0.2406)
S (0.6045, 0.1766, 0.7366)
S (0.6056, 0.4853, 0.8616)
S (0.6194, 0.5164, 0.3507)
S (0.7893, 0.4867, 0.0506)
S (0.8002, 0.8323, 0.1599)
S (0.8021, 0.5146, 0.5394)
S (0.8029, 0.1705, 0.4392)
S (0.8028, 0.8323, 0.6635)
S (0.8062, 0.1771, 0.9357)
S (0.9930, 0.5166, 0.2535)

Properties
* size of the total moment: 0.0 Bohr magnetons per cell
* ρ: 4.19 g/cm³
* V: 15.68 A^3/atom
* DOS at the Fermi energy: 33.12 states/eV per cell
* formation energy without anion corrections: -2598 kJ/mol of formula units
* space group: P1, No. 1



Record 10
A relaxed structure of LiCu2Ir, computed with PBE.

a = 3.0514 Å, b = 3.0514 Å, c = 5.5541 Å
α = 90.00°, β = 90.00°, γ = 90.00°
Positions (direct):
Li (0.0000, 0.0000, 0.0000)
Cu (0.5000, 0.5000, 0.2481)
Cu (0.5000, 0.5000, 0.7519)
Ir (0.0000, 0.0000, 0.5000)

Properties
* size of the total moment: 0.0 Bohr magnetons per cell
* energy: -18.54 eV for the cell shown
* ρ: 10.48 g/cm³
* V: 12.93 A^3/atom
* DOS at the Fermi energy: 2.98 states/eV per cell
* space group: P4/mmm, No. 123